No. 1
Below is a crystal of InBiO2 relaxed with PBEsol, with properties calculated at the SCAN level.

Its space-group type is R-3m. For the formation energy from raw total energies, the calculation gives -1.305 eV/atom.

abc: 3.3403 3.3403 7.1698
angles: 76.53 76.53 60.00
Last column: nearest neighbours and their distance in Å.
Fractional coordinates of all 4 atoms:
O (0.8857, 0.8857, 0.3429)  3 In 2.21, 1 Bi 2.37
O (0.1143, 0.1143, 0.6571)  3 In 2.21, 1 Bi 2.37
In (0.5000, 0.5000, 0.5000)  6 O 2.21
Bi (0.0000, 0.0000, 0.0000)  2 O 2.37

***

No. 2
Below is a crystal of TaInBi2O7 relaxed with PBEsol, with properties calculated at the SCAN level.

Its space-group type is Imma. For the formation energy from raw total energies, the calculation gives -1.902 eV/atom.

abc: 7.4489 7.5291 7.5291
angles: 60.47 60.35 60.35
Last column: nearest neighbours and their distance in Å.
Fractional coordinates of all 22 atoms:
O (0.3225, 0.3985, 0.3496)  1 Ta 2.00, 1 In 2.20
O (0.9294, 0.8496, 0.8985)  1 Ta 2.00, 1 In 2.20
O (0.6288, 0.1212, 0.6212)  4 Bi 2.27-2.34
O (0.6775, 0.6015, 0.6504)  1 Ta 2.00, 1 In 2.20
O (0.9542, 0.7958, 0.2958)  2 Ta 1.96
O (0.0706, 0.1504, 0.1015)  1 Ta 2.00, 1 In 2.20
O (0.6775, 0.1504, 0.1015)  1 Ta 2.00, 1 In 2.20
O (0.0458, 0.2042, 0.7042)  2 Ta 1.96
O (0.3712, 0.8788, 0.3788)  4 Bi 2.27-2.34
O (0.9294, 0.3985, 0.3496)  1 Ta 2.00, 1 In 2.20
O (0.6497, 0.6003, 0.1003)  2 In 2.15
O (0.3503, 0.3997, 0.8997)  2 In 2.15
O (0.0706, 0.6015, 0.6504)  1 Ta 2.00, 1 In 2.20
O (0.3225, 0.8496, 0.8985)  1 Ta 2.00, 1 In 2.20
Bi (0.5000, 0.0000, 0.0000)  4 O 2.34-2.48
Bi (0.5000, 0.5000, 0.5000)  4 O 2.34-2.48
Bi (0.0000, 0.0000, 0.5000)  6 O 2.27-2.50
Bi (0.5000, 0.0000, 0.5000)  6 O 2.27-2.50
Ta (0.0000, 0.5000, 0.5000)  6 O 1.96-2.00
Ta (0.0000, 0.0000, 0.0000)  6 O 1.96-2.00
In (0.0000, 0.5000, 0.0000)  6 O 2.15-2.20
In (0.5000, 0.5000, 0.0000)  6 O 2.15-2.20

***

No. 3
Below is a crystal of InBiP2Os relaxed with PBEsol, with properties calculated at the SCAN level.

Its space-group type is P4/mmm. For the formation energy, the calculation gives 1843 meV per atom.

abc: 4.8580 4.8580 4.9636
angles: 90.00 90.00 90.00
Last column: nearest neighbours and their distance in Å.
Fractional coordinates of all 5 atoms:
P (0.5000, 0.0000, 0.0000)  2 In 2.43
P (0.0000, 0.5000, 0.0000)  2 In 2.43
Os (0.0000, 0.0000, 0.5000)  2 In 2.48
Bi (0.5000, 0.5000, 0.5000)  4 Os 3.44, 8 P 3.47
In (0.0000, 0.0000, 0.0000)  4 P 2.43, 2 Os 2.48

***

No. 4
Below is a crystal of In2BiP relaxed with PBEsol, with properties calculated at the SCAN level.

Its space-group type is I-42d. For the formation energy, the calculation gives -131 meV per atom.

abc: 6.3029 6.3029 7.6343
angles: 114.38 114.38 90.00
Last column: nearest neighbours and their distance in Å.
Fractional coordinates of all 8 atoms:
In (0.8314, 0.3750, 0.2500)  2 P 2.56
In (0.4186, 0.8750, 0.2500)  2 P 2.56
In (0.6250, 0.5814, 0.7500)  2 P 2.56
In (0.1250, 0.1686, 0.7500)  2 P 2.56
P (0.5000, 0.5000, 0.0000)  4 In 2.56
P (0.7500, 0.2500, 0.5000)  4 In 2.56
Bi (0.0000, 0.0000, 0.0000)  4 In 2.88
Bi (0.2500, 0.7500, 0.5000)  4 In 2.88

***

No. 5
Below is a crystal of In4Bi3Pb relaxed with PBEsol, with properties calculated at the SCAN level.

Its space-group type is I4/mcm. For the formation energy, the calculation gives 57 meV per atom.

abc: 8.3527 8.8226 8.3527
angles: 61.75 90.00 118.25
Last column: nearest neighbours and their distance in Å.
Fractional coordinates of all 16 atoms:
Bi (0.8569, 0.0000, 0.6431)  2 Pb 3.21, 6 In 3.28-3.31, 1 Bi 3.38
Bi (0.1431, 0.0000, 0.3569)  2 Pb 3.21, 6 In 3.28-3.31, 1 Bi 3.38
Bi (0.2500, 0.5000, 0.7500)  2 Pb 3.28, 8 In 3.37
Bi (0.6431, 0.0000, 0.1431)  2 Pb 3.21, 6 In 3.28-3.31, 1 Bi 3.38
Bi (0.3569, 0.0000, 0.8569)  2 Pb 3.21, 6 In 3.28-3.31, 1 Bi 3.38
Bi (0.7500, 0.5000, 0.2500)  2 Pb 3.28, 8 In 3.37
In (0.3160, 0.3359, 0.4802)  4 In 3.23-3.50, 5 Bi 3.28-3.37
In (0.0198, 0.3359, 0.1840)  4 In 3.23-3.50, 5 Bi 3.28-3.37
In (0.8160, 0.3359, 0.6840)  4 In 3.23-3.50, 5 Bi 3.28-3.37
In (0.9802, 0.6641, 0.8160)  4 In 3.23-3.50, 5 Bi 3.28-3.37
In (0.6840, 0.6641, 0.5198)  4 In 3.23-3.50, 5 Bi 3.28-3.37
In (0.1840, 0.6641, 0.3160)  4 In 3.23-3.50, 5 Bi 3.28-3.37
In (0.4802, 0.6641, 0.0198)  4 In 3.23-3.50, 5 Bi 3.28-3.37
In (0.5198, 0.3359, 0.9802)  4 In 3.23-3.50, 5 Bi 3.28-3.37
Pb (0.5000, 0.0000, 0.5000)  6 Bi 3.21-3.28
Pb (0.0000, 0.0000, 0.0000)  6 Bi 3.21-3.28

***

No. 6
Below is a crystal of In2BiPb relaxed with PBEsol, with properties calculated at the SCAN level.

Its space-group type is Fm-3m. For the formation energy, the calculation gives 101 meV per atom.

abc: 5.3939 5.3939 5.3939
angles: 60.00 60.00 60.00
Last column: nearest neighbours and their distance in Å.
Fractional coordinates of all 4 atoms:
Pb (0.0000, 0.0000, 0.0000)  8 In 3.30
Bi (0.5000, 0.5000, 0.5000)  8 In 3.30
In (0.2500, 0.2500, 0.2500)  4 Pb 3.30, 4 Bi 3.30
In (0.7500, 0.7500, 0.7500)  4 Pb 3.30, 4 Bi 3.30

***

No. 7
Below is a crystal of In2BiPb2 relaxed with PBEsol, with properties calculated at the SCAN level.

Its space-group type is P4/mbm. For the formation energy, the calculation gives 123 meV per atom.

abc: 3.5740 8.9743 8.9743
angles: 90.00 90.00 90.00
Last column: nearest neighbours and their distance in Å.
Fractional coordinates of all 10 atoms:
In (0.5000, 0.6606, 0.8394)  6 Pb 3.11-3.23
In (0.5000, 0.1606, 0.6606)  6 Pb 3.11-3.23
In (0.5000, 0.8394, 0.3394)  6 Pb 3.11-3.23
In (0.5000, 0.3394, 0.1606)  6 Pb 3.11-3.23
Pb (0.0000, 0.1389, 0.3611)  6 In 3.11-3.23, 2 Bi 3.47
Pb (0.0000, 0.8611, 0.6389)  6 In 3.11-3.23, 2 Bi 3.47
Pb (0.0000, 0.3611, 0.8611)  6 In 3.11-3.23, 2 Bi 3.47
Pb (0.0000, 0.6389, 0.1389)  6 In 3.11-3.23, 2 Bi 3.47
Bi (0.0000, 0.0000, 0.0000)  4 Pb 3.47, 2 Bi 3.57, 8 In 3.81
Bi (0.0000, 0.5000, 0.5000)  4 Pb 3.47, 2 Bi 3.57, 8 In 3.81

***

No. 8
Below is a crystal of In3Bi7Pb4S18 relaxed with PBEsol, with properties calculated at the SCAN level.

Its space-group type is P2_1/m. For the formation energy from raw total energies, the calculation gives -0.421 eV/atom.

abc: 3.9451 18.3538 21.3130
angles: 97.69 90.00 90.00
Last column: nearest neighbours and their distance in Å.
Fractional coordinates of all 64 atoms:
S (0.7500, 0.1338, 0.8584)  3 Bi 2.84-2.91, 2 Pb 2.96
S (0.2500, 0.0829, 0.5030)  6 Bi 2.81-3.07
S (0.2500, 0.6972, 0.9790)  1 In 2.59, 2 Bi 2.83
S (0.7500, 0.3874, 0.7362)  1 Bi 2.73, 4 Pb 2.92-2.93
S (0.2500, 0.8662, 0.1416)  3 Bi 2.84-2.91, 2 Pb 2.96
S (0.2500, 0.3122, 0.8725)  3 Bi 2.72-2.80, 1 Pb 2.97
S (0.7500, 0.8027, 0.8732)  2 In 2.60, 1 Bi 2.74
S (0.7500, 0.0581, 0.1815)  3 Bi 2.70-2.88, 2 Pb 2.94
S (0.7500, 0.4525, 0.5543)  3 In 2.55-2.70
S (0.2500, 0.5475, 0.4457)  3 In 2.55-2.70
S (0.7500, 0.0111, 0.6902)  5 Bi 2.76-3.01
S (0.2500, 0.3914, 0.1669)  3 In 2.58-2.71
S (0.2500, 0.7396, 0.4452)  3 Bi 2.73-2.87
S (0.2500, 0.8359, 0.6257)  3 Bi 2.76-2.78
S (0.7500, 0.3028, 0.0210)  1 In 2.59, 2 Bi 2.83
S (0.2500, 0.3537, 0.4059)  3 In 2.62-2.66, 1 Bi 2.79
S (0.2500, 0.1973, 0.1268)  2 In 2.60, 1 Bi 2.74
S (0.7500, 0.6086, 0.8331)  3 In 2.58-2.71
S (0.2500, 0.9889, 0.3098)  5 Bi 2.76-3.01
S (0.7500, 0.9171, 0.4970)  6 Bi 2.81-3.07
S (0.2500, 0.6126, 0.2638)  1 Bi 2.73, 4 Pb 2.92-2.93
S (0.2500, 0.5307, 0.0750)  3 Bi 2.78, 2 Pb 3.10
S (0.2500, 0.5318, 0.6872)  3 In 2.63-2.66
S (0.7500, 0.0856, 0.0037)  3 Bi 2.73-2.89
S (0.7500, 0.6878, 0.1275)  3 Bi 2.72-2.80, 1 Pb 2.97
S (0.7500, 0.2604, 0.5548)  3 Bi 2.73-2.87
S (0.7500, 0.6463, 0.5941)  3 In 2.62-2.66, 1 Bi 2.79
S (0.2500, 0.1974, 0.7001)  5 Bi 2.88-2.93
S (0.7500, 0.4682, 0.3128)  3 In 2.63-2.66
S (0.7500, 0.8026, 0.2999)  5 Bi 2.88-2.93
S (0.7500, 0.2777, 0.2601)  3 In 2.59-2.67
S (0.7500, 0.1641, 0.3743)  3 Bi 2.76-2.78
S (0.2500, 0.9144, 0.9963)  3 Bi 2.73-2.89
S (0.7500, 0.4693, 0.9250)  3 Bi 2.78, 2 Pb 3.10
S (0.2500, 0.9419, 0.8185)  3 Bi 2.70-2.88, 2 Pb 2.94
S (0.2500, 0.7223, 0.7399)  3 In 2.59-2.67
Bi (0.2500, 0.4025, 0.9890)  6 S 2.78-2.83
Bi (0.7500, 0.0278, 0.4152)  6 S 2.76-3.00
Bi (0.2500, 0.7393, 0.2098)  6 S 2.72-2.91
Bi (0.7500, 0.2607, 0.7902)  6 S 2.72-2.91
Bi (0.2500, 0.8655, 0.3899)  4 S 2.73-3.01
Bi (0.7500, 0.5975, 0.0110)  6 S 2.78-2.83
Bi (0.2500, 0.9722, 0.5848)  6 S 2.76-3.00
Bi (0.2500, 0.0713, 0.7714)  6 S 2.70-2.93
Bi (0.7500, 0.9287, 0.2286)  6 S 2.70-2.93
Bi (0.7500, 0.9501, 0.9174)  6 S 2.73-2.89
Bi (0.7500, 0.1345, 0.6101)  4 S 2.73-3.01
Bi (0.7500, 0.7775, 0.5417)  6 S 2.78-2.87
Bi (0.2500, 0.0499, 0.0826)  6 S 2.73-2.89
Bi (0.2500, 0.2225, 0.4583)  6 S 2.78-2.87
In (0.7500, 0.4463, 0.4338)  6 S 2.55-2.70
In (0.7500, 0.6250, 0.7148)  6 S 2.58-2.67
In (0.2500, 0.3750, 0.2852)  6 S 2.58-2.67
In (0.2500, 0.5537, 0.5662)  6 S 2.55-2.70
In (0.7500, 0.2907, 0.1406)  6 S 2.59-2.71
In (0.2500, 0.7093, 0.8594)  6 S 2.59-2.71
Pb (0.7500, 0.5242, 0.1864)  7 S 2.92-3.12
Pb (0.7500, 0.8462, 0.7460)  7 S 2.93-3.22
Pb (0.2500, 0.4758, 0.8136)  7 S 2.92-3.12
Pb (0.2500, 0.3708, 0.6336)  7 S 2.93-3.15
Pb (0.2500, 0.1538, 0.2540)  7 S 2.93-3.22
Pb (0.7500, 0.8060, 0.0448)  7 S 2.96-3.08
Pb (0.2500, 0.1940, 0.9552)  7 S 2.96-3.08
Pb (0.7500, 0.6292, 0.3664)  7 S 2.93-3.15

***

No. 9
Below is a crystal of In2BiPd2 relaxed with PBEsol, with properties calculated at the SCAN level.

Its space-group type is P4/mbm. For the formation energy, the calculation gives -301 meV per atom.

abc: 3.1710 7.9036 7.9036
angles: 90.00 90.00 90.00
Last column: nearest neighbours and their distance in Å.
Fractional coordinates of all 10 atoms:
Pd (0.0000, 0.3570, 0.8570)  6 In 2.79-2.82, 2 Bi 3.04
Pd (0.0000, 0.1430, 0.3570)  6 In 2.79-2.82, 2 Bi 3.04
Pd (0.0000, 0.6430, 0.1430)  6 In 2.79-2.82, 2 Bi 3.04
Pd (0.0000, 0.8570, 0.6430)  6 In 2.79-2.82, 2 Bi 3.04
In (0.5000, 0.8488, 0.3488)  6 Pd 2.79-2.82
In (0.5000, 0.6512, 0.8488)  6 Pd 2.79-2.82
In (0.5000, 0.1512, 0.6512)  6 Pd 2.79-2.82
In (0.5000, 0.3488, 0.1512)  6 Pd 2.79-2.82
Bi (0.0000, 0.5000, 0.5000)  4 Pd 3.04, 2 Bi 3.17, 8 In 3.40
Bi (0.0000, 0.0000, 0.0000)  4 Pd 3.04, 2 Bi 3.17, 8 In 3.40

***

No. 10
Below is a crystal of InBi3Pt relaxed with PBEsol, with properties calculated at the SCAN level.

The relative energy among the computed polymorphs is 0 meV per atom. Its space-group type is Pm-3m. For the formation energy, the calculation gives 386 meV per atom.

abc: 5.4099 5.4099 5.4099
angles: 90.00 90.00 90.00
Last column: nearest neighbours and their distance in Å.
Fractional coordinates of all 5 atoms:
Bi (0.5000, 0.0000, 0.0000)  2 Pt 2.70
Bi (0.0000, 0.0000, 0.5000)  2 Pt 2.70
Bi (0.0000, 0.5000, 0.0000)  2 Pt 2.70
In (0.5000, 0.5000, 0.5000)  12 Bi 3.83
Pt (0.0000, 0.0000, 0.0000)  6 Bi 2.70

***

| no. | Fermi-level density of states (states/eV/atom) |
| --- | --- |
| 1 | 0.161 |
| 2 | 0.000 |
| 3 | 1.114 |
| 4 | 0.037 |
| 5 | 0.403 |
| 6 | 0.464 |
| 7 | 0.546 |
| 8 | 0.086 |
| 9 | 0.391 |
| 10 | 1.146 |